Entry 1:
# HoPRu

A relaxed HoPRu crystal (PBE-GGA, the Alexandria database).

POSCAR file:
```
HoPRu
1.0
-0.428 -3.896 -0.824
-6.695 1.208 7.498
-5.560 0.384 1.074
P Ho Ru
2 2 2
direct
0.881 0.762 0.111 P
0.119 0.238 0.889 P
0.879 0.758 0.615 Ho
0.121 0.242 0.385 Ho
0.695 0.390 0.796 Ru
0.305 0.610 0.204 Ru
```

* mass density: 7.5 g/cm3
* calculated volume: 131.7 Å³/cell

Entry 2:
# DyPu4Ge3

A relaxed DyPu4Ge3 crystal (PBE-GGA, the Alexandria database).

POSCAR file:
```
DyPu4Ge3
1.0
6.988 0.000 -3.664
-1.922 6.718 -3.664
-0.098 -0.130 8.307
Pu Ge Dy
8 6 2
direct
0.310 0.502 0.312 Pu
0.002 0.810 0.312 Pu
0.190 0.690 0.688 Pu
0.810 0.310 0.312 Pu
0.502 0.002 0.312 Pu
0.998 0.190 0.688 Pu
0.690 0.498 0.688 Pu
0.498 0.998 0.688 Pu
0.750 0.750 0.500 Ge
0.649 0.851 0.000 Ge
0.250 0.250 0.500 Ge
0.351 0.149 0.000 Ge
0.149 0.649 0.000 Ge
0.851 0.351 0.000 Ge
0.500 0.500 0.000 Dy
0.000 0.000 0.000 Dy
```

* mass density: 11.8 g/cm3
* calculated volume: 383.3 Å³/cell

For the records above, the corresponding E_form values read -0.668, -0.451 eV per atom.